Arrangement a

MnTc2Br | PBEsol | relaxed

Lattice parameters (Å, degrees): 2.980 2.980 6.383 90.00 90.00 90.00
Each line ends with the local moment (μB).
Positions (direct):
Tc (0.000, 0.000, 0.723)  -0.21
Tc (0.000, 0.000, 0.277)  -0.21
Mn (0.500, 0.500, 0.500)  2.05
Br (0.500, 0.500, 0.000)  -0.01

Results
Calculated density, g/cm³: 9.69
Magnetic moment, μB/f.u.: 1.67
Symmetry: No. 123


Arrangement b

MnTc2Br | PBEsol | relaxed

Lattice parameters (Å, degrees): 2.911 2.911 8.446 80.08 80.08 60.00
Each line ends with the local moment (μB).
Positions (direct):
Tc (0.746, 0.746, 0.763)  -0.01
Mn (0.251, 0.251, 0.248)  3.40
Br (0.504, 0.504, 0.489)  0.04
Tc (0.000, 0.000, 0.999)  0.12

Results
Calculated density, g/cm³: 9.05
Magnetic moment, μB/f.u.: 3.70
Symmetry: No. 160


Which of them is most stable, and which least? Most stable: arrangement b; least stable: arrangement a.


Arrangement a

Ba2CaAg | PBEsol | relaxed

Lattice parameters (Å, degrees): 4.056 6.150 7.424 114.47 105.85 90.00
Positions (direct):
Ag (0.238, 0.738, 0.477)
Ba (0.945, 0.945, 0.889)
Ca (0.563, 0.563, 0.126)
Ba (0.754, 0.254, 0.508)

Results
Calculated density, g/cm³: 4.36
Magnetic moment, μB/f.u.: 0.00
Symmetry: No. 44


Arrangement b

Ba2CaAg | PBEsol | relaxed

Lattice parameters (Å, degrees): 3.960 3.960 10.116 90.00 90.00 90.00
Positions (direct):
Ba (0.500, 0.500, 0.274)
Ag (0.500, 0.500, 0.723)
Ca (0.000, 0.000, 0.575)
Ba (0.000, 0.000, 0.929)

Results
Calculated density, g/cm³: 4.42
Magnetic moment, μB/f.u.: 0.00
Symmetry: No. 99


Which of them is most stable, and which least? Most stable: arrangement b; least stable: arrangement a.